#1
Entry from Alexandria: an optimized crystal structure of Pa3PdSe6 (PBE-GGA).

```
Pa3PdSe6
1.0
5.623 -6.763 0.000
5.623 6.763 0.000
0.000 0.000 6.708
Pa Pd Se
6 2 12
direct
0.108 0.892 0.500
0.231 0.436 0.403
0.436 0.231 0.903
0.564 0.769 0.403
0.769 0.564 0.903
0.892 0.108 0.000
0.293 0.707 0.785
0.707 0.293 0.285
0.034 0.582 0.648
0.131 0.200 0.702
0.200 0.131 0.202
0.269 0.731 0.204
0.418 0.966 0.648
0.476 0.524 0.689
0.524 0.476 0.189
0.582 0.034 0.148
0.731 0.269 0.704
0.800 0.869 0.702
0.869 0.800 0.202
0.966 0.418 0.148
```

Computed properties:
Total moment: 0.2350 μB/atom

#2
Entry from Alexandria: an optimized crystal structure of Pa3PdSe6 (PBE-GGA).

```
Pa3PdSe6
1.0
5.675 3.277 4.910
-5.675 3.277 4.910
0.000 -6.553 4.910
Pa Pd Se
6 2 12
direct
0.072 0.232 0.588
0.232 0.588 0.072
0.412 0.928 0.768
0.588 0.072 0.232
0.768 0.412 0.928
0.928 0.768 0.412
0.000 0.000 0.000
0.500 0.500 0.500
0.083 0.887 0.689
0.113 0.311 0.917
0.188 0.529 0.411
0.311 0.917 0.113
0.411 0.188 0.529
0.471 0.589 0.812
0.529 0.411 0.188
0.589 0.812 0.471
0.689 0.083 0.887
0.812 0.471 0.589
0.887 0.689 0.083
0.917 0.113 0.311
```

Computed properties:
Total moment: 0.3042 μB/atom

Stability verdict: #1, ahead by 164 meV per atom

#1
Entry from Alexandria: an optimized crystal structure of PaSi2Pd4 (PBE-GGA).

```
PaSi2Pd4
1.0
2.061 -6.821 0.000
2.061 6.821 0.000
0.000 0.000 4.164
Pa Si Pd
1 2 4
direct
0.000 0.000 0.000
0.416 0.584 0.500
0.584 0.416 0.500
0.176 0.824 0.500
0.327 0.673 0.000
0.673 0.327 0.000
0.824 0.176 0.500
```

Computed properties:
Total moment: 0.0000 μB/atom

#2
Entry from Alexandria: an optimized crystal structure of PaSi2Pd4 (PBE-GGA).

```
PaSi2Pd4
1.0
7.968 0.000 0.000
0.000 7.968 0.000
0.000 0.000 3.666
Pa Si Pd
2 4 8
direct
0.000 0.000 0.000
0.500 0.500 0.500
0.218 0.218 0.500
0.282 0.718 0.000
0.718 0.282 0.000
0.782 0.782 0.500
0.079 0.679 0.500
0.179 0.421 0.000
0.321 0.921 0.500
0.421 0.179 0.000
0.579 0.821 0.000
0.679 0.079 0.500
0.821 0.579 0.000
0.921 0.321 0.500
```

Computed properties:
Total moment: 0.0000 μB/atom

Stability verdict: #2, ahead by 25 meV per atom

#1
Entry from Alexandria: an optimized crystal structure of PaSi3Pd (PBE-GGA).

```
PaSi3Pd
1.0
2.053 -10.748 0.000
2.053 10.748 0.000
0.000 0.000 4.080
Pa Si Pd
2 6 2
direct
0.173 0.827 0.000
0.827 0.173 0.000
0.054 0.946 0.500
0.276 0.724 0.500
0.446 0.554 0.000
0.554 0.446 0.000
0.724 0.276 0.500
0.946 0.054 0.500
0.388 0.612 0.500
0.612 0.388 0.500
```

Computed properties:
Total moment: 0.0000 μB/atom

#2
Entry from Alexandria: an optimized crystal structure of PaSi3Pd (PBE-GGA).

```
PaSi3Pd
1.0
4.106 0.000 0.000
0.000 8.043 0.000
-1.999 0.000 5.911
Pa Si Pd
2 6 2
direct
0.005 0.250 0.009
0.995 0.750 0.991
0.300 0.750 0.605
0.420 0.004 0.806
0.420 0.496 0.806
0.580 0.504 0.194
0.580 0.996 0.194
0.700 0.250 0.395
0.294 0.250 0.591
0.706 0.750 0.409
```

Computed properties:
Total moment: 0.0001 μB/atom

Stability verdict: #1, ahead by 120 meV per atom

#1
Entry from Alexandria: an optimized crystal structure of SmPaPd6 (PBE-GGA).

```
SmPaPd6
1.0
4.160 0.000 0.000
0.000 4.160 0.000
0.000 0.000 8.320
Sm Pa Pd
1 1 6
direct
0.000 0.000 0.000
0.000 0.000 0.500
0.000 0.500 0.259
0.000 0.500 0.741
0.500 0.000 0.259
0.500 0.000 0.741
0.500 0.500 0.000
0.500 0.500 0.500
```

Computed properties:
Total moment: 0.0332 μB/atom

#2
Entry from Alexandria: an optimized crystal structure of SmPaPd6 (PBE-GGA).

```
SmPaPd6
1.0
2.750 1.587 6.975
-2.750 1.587 6.975
0.000 -3.175 6.975
Sm Pa Pd
1 1 6
direct
0.000 0.000 0.000
0.500 0.500 0.500
0.059 0.571 0.571
0.429 0.429 0.941
0.429 0.941 0.429
0.571 0.059 0.571
0.571 0.571 0.059
0.941 0.429 0.429
```

Computed properties:
Total moment: 0.0000 μB/atom

Stability verdict: #1, ahead by 443 meV per atom

#1
Entry from Alexandria: an optimized crystal structure of Sm2PaPd (PBE-GGA).

```
Sm2PaPd
1.0
3.533 0.000 0.000
0.000 3.533 0.000
0.000 0.000 8.228
Sm Pa Pd
2 1 1
direct
0.000 0.000 0.219
0.000 0.000 0.781
0.500 0.500 0.500
0.500 0.500 0.000
```

Computed properties:
Total moment: 0.0004 μB/atom

#2
Entry from Alexandria: an optimized crystal structure of Sm2PaPd (PBE-GGA).

```
Sm2PaPd
1.0
1.639 0.946 11.078
-1.639 0.946 11.078
0.000 -1.893 11.078
Sm Pa Pd
2 1 1
direct
0.097 0.097 0.097
0.903 0.903 0.903
0.000 0.000 0.000
0.500 0.500 0.500
```

Computed properties:
Total moment: 0.0000 μB/atom

Stability verdict: #1, ahead by 307 meV per atom

#1
Entry from Alexandria: an optimized crystal structure of SmPaPd2 (PBE-GGA).

```
SmPaPd2
1.0
0.000 3.547 3.547
3.547 0.000 3.547
3.547 3.547 0.000
Sm Pa Pd
1 1 2
direct
0.000 0.000 0.000
0.500 0.500 0.500
0.250 0.250 0.250
0.750 0.750 0.750
```

Computed properties:
Total moment: 0.2529 μB/atom

#2
Entry from Alexandria: an optimized crystal structure of SmPaPd2 (PBE-GGA).

```
SmPaPd2
1.0
1.961 1.132 7.369
-1.961 1.132 7.369
0.000 -2.265 7.369
Sm Pa Pd
1 1 2
direct
0.000 0.000 0.000
0.500 0.500 0.500
0.243 0.243 0.243
0.757 0.757 0.757
```

Computed properties:
Total moment: 0.0004 μB/atom

Stability verdict: #2, ahead by 18 meV per atom

#1
Entry from Alexandria: an optimized crystal structure of SmPaPd4 (PBE-GGA).

```
SmPaPd4
1.0
2.072 -10.166 0.000
2.072 10.166 0.000
0.000 0.000 5.773
Sm Pa Pd
2 2 8
direct
0.225 0.775 0.750
0.775 0.225 0.250
0.079 0.921 0.250
0.921 0.079 0.750
0.069 0.931 0.750
0.357 0.643 0.007
0.357 0.643 0.493
0.500 0.500 0.000
0.500 0.500 0.500
0.643 0.357 0.507
0.643 0.357 0.993
0.931 0.069 0.250
```

Computed properties:
Total moment: 0.0001 μB/atom

#2
Entry from Alexandria: an optimized crystal structure of SmPaPd4 (PBE-GGA).

```
SmPaPd4
1.0
0.000 3.865 3.865
3.865 0.000 3.865
3.865 3.865 0.000
Sm Pa Pd
1 1 4
direct
0.000 0.000 0.000
0.250 0.250 0.250
0.126 0.625 0.625
0.625 0.126 0.625
0.625 0.625 0.126
0.625 0.625 0.625
```

Computed properties:
Total moment: 0.2065 μB/atom

Stability verdict: #1, ahead by 158 meV per atom

#1
Entry from Alexandria: an optimized crystal structure of PaSnPd2 (PBE-GGA).

```
PaSnPd2
1.0
0.000 3.434 3.434
3.434 0.000 3.434
3.434 3.434 0.000
Pa Sn Pd
1 1 2
direct
0.000 0.000 0.000
0.500 0.500 0.500
0.250 0.250 0.250
0.750 0.750 0.750
```

Computed properties:
Total moment: 0.0011 μB/atom

#2
Entry from Alexandria: an optimized crystal structure of PaSnPd2 (PBE-GGA).

```
PaSnPd2
1.0
3.275 0.000 0.000
0.000 3.275 0.000
0.000 0.000 7.461
Pa Sn Pd
1 1 2
direct
0.000 0.000 0.000
0.000 0.000 0.500
0.500 0.500 0.260
0.500 0.500 0.740
```

Computed properties:
Total moment: 0.0000 μB/atom

Stability verdict: #1, ahead by 160 meV per atom